Compound: SrAl
Source: Alexandria
Functional: GGA-PBEsol
Structure: optimized geometry

Structure (POSCAR):
```
SrAl
1.0
4.4667 0.0000 0.0000
-2.2333 3.8683 0.0000
0.0000 0.0000 16.5576
Sr Al
4 4
direct
0.3333 0.6667 0.1139
0.3333 0.6667 0.3861
0.6667 0.3333 0.6139
0.6667 0.3333 0.8861
0.0000 0.0000 0.2500
0.0000 0.0000 0.7500
0.3333 0.6667 0.7500
0.6667 0.3333 0.2500
```

Formation energy from the elements (meV per atom): -166
DOS(E_F) (states/eV per cell): 5.2
Symmetry: P6_3/mmc (194)
Volume (Å³ per atom): 35.761
Crystal system: hexagonal

---

Compound: SrTaAl4
Source: Alexandria
Functional: GGA-PBEsol
Structure: optimized geometry

Structure (POSCAR):
```
SrTaAl4
1.0
0.0000 3.8185 3.8185
3.8185 0.0000 3.8185
3.8185 3.8185 0.0000
Sr Ta Al
1 1 4
direct
0.0000 0.0000 0.0000
0.2500 0.2500 0.2500
0.1271 0.6243 0.6243
0.6243 0.1271 0.6243
0.6243 0.6243 0.1271
0.6243 0.6243 0.6243
```

Formation energy from the elements (meV per atom): 1
DOS(E_F) (states/eV per cell): 2.5
Symmetry: F-43m (216)
Volume (Å³ per atom): 18.559
Crystal system: cubic

---

Compound: SrTa2Al
Source: Alexandria
Functional: GGA-PBEsol
Structure: optimized geometry

Structure (POSCAR):
```
SrTa2Al
1.0
3.5337 0.0000 0.0000
0.0000 3.5337 0.0000
0.0000 0.0000 7.2063
Sr Ta Al
1 2 1
direct
0.0000 0.0000 0.0000
0.5000 0.5000 0.3330
0.5000 0.5000 0.6670
0.0000 0.0000 0.5000
```

Formation energy from the elements (meV per atom): 581
DOS(E_F) (states/eV per cell): 7.2
Symmetry: P4/mmm (123)
Volume (Å³ per atom): 22.497
Crystal system: tetragonal

---

Compound: SrTaTi2Al
Source: Alexandria
Functional: GGA-PBEsol
Structure: optimized geometry

Structure (POSCAR):
```
SrTaTi2Al
1.0
4.7739 0.0000 0.0000
0.0000 4.7739 0.0000
0.0000 0.0000 5.2902
Sr Ta Ti Al
1 1 2 1
direct
0.0000 0.0000 0.0000
0.5000 0.5000 0.0000
0.0000 0.5000 0.5000
0.5000 0.0000 0.5000
0.0000 0.0000 0.5000
```

Formation energy from the elements (meV per atom): 1518
DOS(E_F) (states/eV per cell): 11.1
Symmetry: P4/mmm (123)
Volume (Å³ per atom): 24.113
Crystal system: tetragonal

---

Compound: SrAl2Te2
Source: Alexandria
Functional: GGA-PBEsol
Structure: optimized geometry

Structure (POSCAR):
```
SrAl2Te2
1.0
-1.9904 1.9904 8.5766
1.9904 -1.9904 8.5766
1.9904 1.9904 -8.5766
Sr Al Te
1 2 2
direct
0.0000 0.0000 0.0000
0.2500 0.7500 0.5000
0.7500 0.2500 0.5000
0.3930 0.3930 0.0000
0.6070 0.6070 0.0000
```

Formation energy from raw total energies (eV/atom): -0.439
DOS(E_F) (states/eV per cell): 2.3
Symmetry: I4/mmm (139)
Volume (Å³ per atom): 27.183
Crystal system: tetragonal

---

Compound: Sr2AlTe
Source: Alexandria
Functional: GGA-PBEsol
Structure: optimized geometry

Structure (POSCAR):
```
Sr2AlTe
1.0
-4.3434 4.3434 3.7633
4.3434 -4.3434 3.7633
4.3434 4.3434 -3.7633
Sr Al Te
4 2 2
direct
0.1190 0.6250 0.9940
0.3750 0.3690 0.4940
0.6310 0.1250 0.0060
0.8750 0.8810 0.5060
0.2500 0.7500 0.5000
0.5000 0.5000 0.0000
0.0000 0.0000 0.0000
0.7500 0.2500 0.5000
```

Formation energy from raw total energies (eV/atom): -0.453
DOS(E_F) (states/eV per cell): 6.1
Symmetry: I-42d (122)
Volume (Å³ per atom): 35.498
Distance to the lowest polymorph of the same formula (eV per atom): 0.213
Crystal system: tetragonal

---

Compound: Sr2AlTe
Source: Alexandria
Functional: GGA-PBEsol
Structure: optimized geometry

Structure (POSCAR):
```
Sr2AlTe
1.0
3.5819 -4.3931 0.0000
3.5819 4.3931 0.0000
0.0000 0.0000 3.9134
Sr Al Te
2 1 1
direct
0.0000 0.5000 0.0000
0.5000 0.0000 0.0000
0.0000 0.0000 0.5000
0.5000 0.5000 0.5000
```

Formation energy from raw total energies (eV/atom): -0.666
DOS(E_F) (states/eV per cell): 2.1
Symmetry: Cmmm (65)
Volume (Å³ per atom): 30.790
Distance to the lowest polymorph of the same formula (eV per atom): 0.000
Crystal system: orthorhombic

---

Compound: SrAl2Te4
Source: Alexandria
Functional: GGA-PBEsol
Structure: optimized geometry

Structure (POSCAR):
```
SrAl2Te4
1.0
-4.1068 4.1068 3.3187
4.1068 -4.1068 3.3187
4.1068 4.1068 -3.3187
Sr Al Te
1 2 4
direct
0.0000 0.0000 0.0000
0.0000 0.5000 0.5000
0.5000 0.0000 0.5000
0.0734 0.5734 0.1468
0.4266 0.9266 0.8532
0.5734 0.4266 0.5000
0.9266 0.0734 0.5000
```

Formation energy from raw total energies (eV/atom): -0.801
Symmetry: I422 (97)
Volume (Å³ per atom): 31.985
Crystal system: tetragonal

---

- Number 3 is which compound?
  SrTa2Al